(w)
Computed, not measured: a relaxed structure of Ba2LiTlIr at the PBE level of DFT.

a = 6.111 Å, b = 6.111 Å, c = 5.337 Å
α = 90.00°, β = 90.00°, γ = 90.00°
Atoms (fractional coordinates):
Tl  0.000  0.000  0.500
Ir  0.000  0.000  0.000
Ba  0.000  0.500  0.000
Ba  0.500  0.000  0.000
Li  0.500  0.500  0.500

***

(x)
Computed, not measured: a relaxed structure of Ba2LiTlIr at the PBE level of DFT.

a = 6.066 Å, b = 6.066 Å, c = 4.946 Å
α = 90.00°, β = 90.00°, γ = 90.00°
Atoms (fractional coordinates):
Tl  0.500  0.500  0.500
Ir  0.000  0.000  0.000
Ba  0.000  0.500  0.000
Ba  0.500  0.000  0.000
Li  0.000  0.000  0.500

***

Least stable structure: (x)